First-principles (PBE) data for a relaxed Pm2InAu6 crystal, as listed in Alexandria via LeMat-Bulk.

abc: 5.491 6.494 6.494
angles: 60.40 89.73 89.73
Fractional coordinates of all 9 atoms:
1 Au 0.679 0.811 0.376
2 Pm 0.828 0.333 0.333
3 Au 0.677 0.814 0.814
4 Pm 0.172 0.667 0.667
5 In 0.000 0.000 0.000
6 Au 0.679 0.376 0.811
7 Au 0.321 0.624 0.189
8 Au 0.321 0.189 0.624
9 Au 0.323 0.186 0.186

Values from the calculation:
Fermi-level density of states in states/eV/cell: 4.79
E in Ry/atom: -0.30345
ΔH_f (0 K) in eV per formula unit: -5.254
Energy above the lowest structure with this stoichiometry in eV per formula unit: 0.000



First-principles (PBE) data for a relaxed PmIn2Au10 crystal, as listed in Alexandria via LeMat-Bulk.

abc: 6.057 7.096 7.552
angles: 80.15 66.36 64.74
Fractional coordinates of all 13 atoms:
1 Au 0.332 0.665 0.672
2 Au 0.715 0.784 0.786
3 Au 0.668 0.335 0.328
4 In 0.000 0.000 0.500
5 In 0.500 0.000 0.500
6 Au 0.501 0.784 0.214
7 Au 0.285 0.216 0.214
8 Pm 0.000 0.000 0.000
9 Au 0.500 0.500 0.000
10 Au 0.996 0.335 0.672
11 Au 0.000 0.500 0.000
12 Au 0.499 0.216 0.786
13 Au 0.004 0.665 0.328

Values from the calculation:
Fermi-level density of states in states/eV/cell: 4.26
E in Ry/atom: -0.25806
ΔH_f (0 K) in eV per formula unit: -2.642



First-principles (PBE) data for a relaxed Pm4In5Au2 crystal, as listed in Alexandria via LeMat-Bulk.

abc: 3.684 7.888 10.110
angles: 94.56 90.00 90.00
Fractional coordinates of all 11 atoms:
1 In 0.000 0.500 0.000
2 Au 0.000 0.932 0.362
3 In 0.000 0.815 0.844
4 Pm 0.500 0.175 0.872
5 In 0.000 0.185 0.156
6 In 0.000 0.548 0.308
7 Pm 0.500 0.753 0.558
8 Pm 0.500 0.825 0.128
9 Pm 0.500 0.247 0.442
10 In 0.000 0.452 0.692
11 Au 0.000 0.068 0.638

Values from the calculation:
Fermi-level density of states in states/eV/cell: 8.56
E in Ry/atom: -0.30379
ΔH_f (0 K) in eV per formula unit: -6.217



The highest ΔH_f (0 K) belongs to which entry? PmIn2Au10